No. 1
Density functional theory data (PBE) for a geometry-optimized ReAg2CBr structure.

The space group is P4/mmm (No. 123) and the conventional cell measures 4.619, 4.619 and 4.034 Å, with angles of 90.00, 90.00 and 90.00 degrees. The asymmetric unit holds Re at (0.000, 0.000, 0.000), Ag at (0.000, 0.500, 0.500), C at (0.000, 0.000, 0.500) and Br at (0.500, 0.500, 0.000).

The density of states at the Fermi level comes out at 3.5 states/eV per cell. The uncorrected formation energy comes out at 5.0 eV per formula unit.

---

No. 2
Density functional theory data (PBE) for a geometry-optimized LiGdYPb structure.

The space group is F-43m (No. 216) and the conventional cell measures 7.536, 7.536 and 7.536 Å, with angles of 90.00, 90.00 and 90.00 degrees. The asymmetric unit holds Li at (0.000, 0.000, 0.000), Gd at (0.250, 0.250, 0.250), Y at (0.250, 0.250, 0.750) and Pb at (0.000, 0.000, 0.500).

The density of states at the Fermi level comes out at 21.1 states/eV per cell. As for the calculated formation energy: -302 meV/atom.

---

No. 3
Density functional theory data (PBE) for a geometry-optimized Gd2TcRh structure.

The space group is P4/mmm (No. 123) and the conventional cell measures 3.461, 3.461 and 6.902 Å, with angles of 90.00, 90.00 and 90.00 degrees. The asymmetric unit holds Gd at (0.000, 0.000, 0.249), Tc at (0.500, 0.500, 0.000) and Rh at (0.500, 0.500, 0.500).

The density of states at the Fermi level comes out at 4.5 states/eV per cell. As for the calculated formation energy: -281 meV/atom.

---

No. 4
Density functional theory data (PBE) for a geometry-optimized MgFeSe2N structure.

The space group is P4/mmm (No. 123) and the conventional cell measures 5.122, 5.122 and 3.910 Å, with angles of 90.00, 90.00 and 90.00 degrees. The asymmetric unit holds Mg at (0.000, 0.000, 0.000), Fe at (0.500, 0.500, 0.500), Se at (0.000, 0.500, 0.000) and N at (0.000, 0.000, 0.500).

The density of states at the Fermi level comes out at 7.3 states/eV per cell. For the offset from the most stable computed form, the calculation gives 991 meV/atom. The uncorrected formation energy comes out at 4.7 eV per formula unit.

---

No. 5
Density functional theory data (PBE) for a geometry-optimized Dy5Er4Zn structure.

The space group is P4/mmm (No. 123) and the conventional cell measures 3.529, 3.529 and 23.580 Å, with angles of 90.00, 90.00 and 90.00 degrees. The asymmetric unit holds Dy at (0.000, 0.000, 0.000), Dy at (0.000, 0.000, 0.212), Dy at (0.000, 0.000, 0.424), Er at (0.500, 0.500, 0.106), Er at (0.500, 0.500, 0.317) and Zn at (0.500, 0.500, 0.500).

The density of states at the Fermi level comes out at 12.7 states/eV per cell. As for the calculated formation energy: -51 meV/atom.

---

No. 6
Density functional theory data (PBE) for a geometry-optimized Y2TmAg2 structure.

The space group is Immm (No. 71) and the conventional cell measures 4.788, 6.458 and 8.482 Å, with angles of 90.00, 90.00 and 90.00 degrees. The asymmetric unit holds Y at (0.000, 0.000, 0.203), Tm at (0.000, 0.500, 0.000) and Ag at (0.000, 0.285, 0.500).

The density of states at the Fermi level comes out at 9.4 states/eV per cell. As for the calculated formation energy: -173 meV/atom. For the offset from the most stable computed form, the calculation gives 69 meV/atom.

---

No. 7
Density functional theory data (PBE) for a geometry-optimized Tm3UGa12 structure.

The space group is P4/mmm (No. 123) and the conventional cell measures 4.222, 4.222 and 17.090 Å, with angles of 90.00, 90.00 and 90.00 degrees. The asymmetric unit holds Tm at (0.000, 0.000, 0.000), Tm at (0.000, 0.000, 0.249), U at (0.000, 0.000, 0.500), Ga at (0.000, 0.500, 0.125), Ga at (0.000, 0.500, 0.374), Ga at (0.500, 0.500, 0.000), Ga at (0.500, 0.500, 0.250) and Ga at (0.500, 0.500, 0.500).

The density of states at the Fermi level comes out at 10.0 states/eV per cell. As for the calculated formation energy: -447 meV/atom.

---

No. 8
Density functional theory data (PBE) for a geometry-optimized ZrMn2Au structure.

The space group is R3m (No. 160, hexagonal axes) and the conventional cell measures 2.9085, 2.9085 and 29.4460 Å, with angles of 90.00, 90.00 and 120.00 degrees. The asymmetric unit holds Zr at (0.0000, 0.0000, 0.0000), Mn at (0.0000, 0.0000, 0.4143), Mn at (0.0000, 0.0000, 0.8112) and Au at (0.0000, 0.0000, 0.9012).

The density of states at the Fermi level comes out at 10.5 states/eV per cell. As for the calculated formation energy: 384 meV/atom. For the offset from the most stable computed form, the calculation gives 495 meV/atom.

---

No. 9
Density functional theory data (PBE) for a geometry-optimized VCrRe structure.

The space group is P4/nmm (No. 129, origin choice 2) and the conventional cell measures 4.791, 4.791 and 4.567 Å, with angles of 90.00, 90.00 and 90.00 degrees. The asymmetric unit holds V at (0.250, 0.250, 0.001), Cr at (0.250, 0.250, 0.501) and Re at (0.250, 0.750, 0.000).

The density of states at the Fermi level comes out at 4.5 states/eV per cell. As for the calculated formation energy: 1359 meV/atom. For the offset from the most stable computed form, the calculation gives 1552 meV/atom.

---

No. 10
Density functional theory data (PBE) for a geometry-optimized ZrTiTe3 structure.

The space group is Cmc2_1 (No. 36) and the conventional cell measures 3.903, 21.512 and 6.768 Å, with angles of 90.00, 90.00 and 90.00 degrees. The asymmetric unit holds Zr at (0.000, 0.162, 0.000), Ti at (0.000, 0.334, 0.984), Te at (0.000, 0.085, 0.341), Te at (0.000, 0.249, 0.659) and Te at (0.000, 0.417, 0.312).

The density of states at the Fermi level comes out at 15.8 states/eV per cell. For the offset from the most stable computed form, the calculation gives 80 meV/atom. The uncorrected formation energy comes out at -3.7 eV per formula unit.

---

No. 11
Density functional theory data (PBE) for a geometry-optimized ScCuNi structure.

The space group is F-43m (No. 216) and the conventional cell measures 5.864, 5.864 and 5.864 Å, with angles of 90.00, 90.00 and 90.00 degrees. The asymmetric unit holds Sc at (0.000, 0.000, 0.000), Cu at (0.000, 0.000, 0.500) and Ni at (0.250, 0.250, 0.750).

The density of states at the Fermi level comes out at 5.6 states/eV per cell. As for the calculated formation energy: -124 meV/atom.

---

No. 12
Density functional theory data (PBE) for a geometry-optimized CsPaSnS4 structure.

The space group is Imma (No. 74) and the conventional cell measures 8.462, 9.794 and 10.902 Å, with angles of 90.00, 90.00 and 90.00 degrees. The asymmetric unit holds Cs at (0.000, 0.250, 0.183), Pa at (0.250, 0.250, 0.750), Sn at (0.000, 0.000, 0.500), S at (0.000, 0.078, 0.758) and S at (0.207, 0.250, 0.515).

The uncorrected formation energy comes out at -8.3 eV per formula unit.

---

| no. | V (Å³/cell) |
| --- | --- |
| 1 | 86.1 |
| 2 | 428.0 |
| 3 | 82.7 |
| 4 | 102.6 |
| 5 | 293.7 |
| 6 | 262.3 |
| 7 | 304.6 |
| 8 | 215.7 |
| 9 | 104.8 |
| 10 | 568.2 |
| 11 | 201.6 |
| 12 | 903.5 |